The following is a DFT calculation (GGA-PBE) of a relaxed BC crystal.

Cell: 3.621 3.650 8.220 Å, 90.00 90.00 90.00°
Space group I2_12_12_1 (No. 24)
Inequivalent atoms, fractional coordinates:
B  0.000  0.250  0.147 (multiplicity 4)
B  0.250  0.462  0.500 (multiplicity 4)
C  0.000  0.250  0.642 (multiplicity 4)
C  0.232  0.000  0.750 (multiplicity 4)

Values from the calculation:
**Energy above the lowest structure with this stoichiometry**: 0.528 eV/f.u.
**Uncorrected energy**: -120.571 eV per cell
**Total magnetization**: 0.0 μB per cell
**ΔH_f (0 K)**: 0.415 eV/atom